# 1
First-principles (PBE-GGA) data for Mn2NiHgH after structural relaxation, as listed in Alexandria.

abc: 3.9729 3.9729 3.8310
angles: 90.00 90.00 90.00
Space group P4/mmm (No. 123)
Symmetry-distinct sites (fractional):
Mn (0.0000, 0.5000, 0.0000) x2
Ni (0.0000, 0.0000, 0.5000) x1
Hg (0.5000, 0.5000, 0.5000) x1
H (0.0000, 0.0000, 0.0000) x1

Final energy ... -5.41 eV/atom

***

# 2
First-principles (PBE-GGA) data for LiNbC2S after structural relaxation, as listed in Alexandria.

abc: 3.6700 3.6700 4.2889
angles: 90.00 90.00 90.00
Space group P4/mmm (No. 123)
Symmetry-distinct sites (fractional):
Li (0.0000, 0.0000, 0.0000) x1
Nb (0.5000, 0.5000, 0.5000) x1
C (0.0000, 0.5000, 0.0000) x2
S (0.0000, 0.0000, 0.5000) x1

Raw formation energy ... 1.73 eV/atom

***

# 3
First-principles (PBE-GGA) data for CeThZrCd after structural relaxation, as listed in Alexandria.

abc: 7.5802 7.5802 7.5802
angles: 90.00 90.00 90.00
Space group F-43m (No. 216)
Symmetry-distinct sites (fractional):
Ce (0.0000, 0.0000, 0.0000) x4
Th (0.0000, 0.0000, 0.5000) x4
Zr (0.2500, 0.2500, 0.2500) x4
Cd (0.2500, 0.2500, 0.7500) x4

DFT formation energy ... 0.427 eV per formula unit

***

# 4
First-principles (PBE-GGA) data for DyErZnNi after structural relaxation, as listed in Alexandria.

abc: 6.9061 6.9061 6.9061
angles: 90.00 90.00 90.00
Space group F-43m (No. 216)
Symmetry-distinct sites (fractional):
Dy (0.0000, 0.0000, 0.0000) x4
Er (0.0000, 0.0000, 0.5000) x4
Zn (0.2500, 0.2500, 0.7500) x4
Ni (0.2500, 0.2500, 0.2500) x4

DFT formation energy ... -1.448 eV per formula unit

***

# 5
First-principles (PBE-GGA) data for BiH3Au after structural relaxation, as listed in Alexandria.

abc: 3.9273 3.9273 3.9273
angles: 90.00 90.00 90.00
Space group Pm-3m (No. 221)
Symmetry-distinct sites (fractional):
Bi (0.0000, 0.0000, 0.0000) x1
H (0.0000, 0.5000, 0.5000) x3
Au (0.5000, 0.5000, 0.5000) x1

Final energy ... -2.85 eV/atom

***

# 6
First-principles (PBE-GGA) data for La3HO3 after structural relaxation, as listed in Alexandria.

abc: 7.2887 7.2887 15.8260
angles: 90.00 90.00 120.00
Space group R-3 (No. 148, hexagonal axes)
Symmetry-distinct sites (fractional):
La (0.0021, 0.6518, 0.0825) x18
H (0.0000, 0.0000, 0.3320) x6
O (0.0008, 0.6900, 0.9188) x18

Final energy ... -7.24 eV/atom

***

# 7
First-principles (PBE-GGA) data for Sr3TaAu after structural relaxation, as listed in Alexandria.

abc: 5.9073 5.9073 5.9073
angles: 90.00 90.00 90.00
Space group Pm-3m (No. 221)
Symmetry-distinct sites (fractional):
Sr (0.0000, 0.0000, 0.5000) x3
Ta (0.5000, 0.5000, 0.5000) x1
Au (0.0000, 0.0000, 0.0000) x1

DFT formation energy ... 3.315 eV per formula unit

***

# 8
First-principles (PBE-GGA) data for CaScNiRh after structural relaxation, as listed in Alexandria.

abc: 6.6045 6.6045 6.6045
angles: 90.00 90.00 90.00
Space group F-43m (No. 216)
Symmetry-distinct sites (fractional):
Ca (0.0000, 0.0000, 0.0000) x4
Sc (0.0000, 0.0000, 0.5000) x4
Ni (0.2500, 0.2500, 0.7500) x4
Rh (0.2500, 0.2500, 0.2500) x4

DFT formation energy ... -1.594 eV per formula unit

***

# 9
First-principles (PBE-GGA) data for ScGeTe2 after structural relaxation, as listed in Alexandria.

abc: 3.9017 3.9017 28.3967
angles: 90.00 90.00 120.00
Space group R-3m (No. 166, hexagonal axes)
Symmetry-distinct sites (fractional):
Sc (0.0000, 0.0000, 0.0000) x3
Ge (0.0000, 0.0000, 0.5000) x3
Te (0.0000, 0.0000, 0.3967) x6

Raw formation energy ... -0.42 eV/atom

***

# 10
First-principles (PBE-GGA) data for Ru4C after structural relaxation, as listed in Alexandria.

abc: 2.8007 2.8007 9.7045
angles: 90.00 90.00 120.00
Space group P-3m1 (No. 164)
Symmetry-distinct sites (fractional):
Ru (0.3333, 0.6667, 0.1332) x2
Ru (0.3333, 0.6667, 0.3960) x2
C (0.0000, 0.0000, 0.0000) x1

DFT formation energy ... 2.666 eV per formula unit

***

# 11
First-principles (PBE-GGA) data for Tm3HfZr4N8 after structural relaxation, as listed in Alexandria.

abc: 6.5863 6.5863 16.2161
angles: 90.00 90.00 120.00
Space group R-3m (No. 166, hexagonal axes)
Symmetry-distinct sites (fractional):
Tm (0.0000, 0.5000, 0.0000) x9
Hf (0.0000, 0.0000, 0.0000) x3
Zr (0.0000, 0.0000, 0.5000) x3
Zr (0.0000, 0.5000, 0.5000) x9
N (0.0000, 0.0000, 0.2466) x6
N (0.0095, 0.5048, 0.7503) x18

Raw formation energy ... -1.77 eV/atom

***

# 12
First-principles (PBE-GGA) data for Th3ZnHg2 after structural relaxation, as listed in Alexandria.

abc: 3.4396 3.4396 13.3837
angles: 90.00 90.00 90.00
Space group P4/mmm (No. 123)
Symmetry-distinct sites (fractional):
Th (0.0000, 0.0000, 0.0000) x1
Th (0.0000, 0.0000, 0.3467) x2
Zn (0.5000, 0.5000, 0.5000) x1
Hg (0.5000, 0.5000, 0.1714) x2

DFT formation energy ... -1.167 eV per formula unit

***

# 13
First-principles (PBE-GGA) data for SrTlSi after structural relaxation, as listed in Alexandria.

abc: 7.2219 7.2219 7.2219
angles: 90.00 90.00 90.00
Space group F-43m (No. 216)
Symmetry-distinct sites (fractional):
Sr (0.0000, 0.0000, 0.0000) x4
Tl (0.0000, 0.0000, 0.5000) x4
Si (0.2500, 0.2500, 0.2500) x4

Raw formation energy ... -0.09 eV/atom

***

# 14
First-principles (PBE-GGA) data for La8Tb6Tl after structural relaxation, as listed in Alexandria.

abc: 9.3897 9.3897 6.7329
angles: 90.00 90.00 120.00
Space group P-3 (No. 147)
Symmetry-distinct sites (fractional):
La (0.0486, 0.7699, 0.1739) x6
La (0.3333, 0.6667, 0.1285) x2
Tb (0.1009, 0.6553, 0.6554) x6
Tl (0.0000, 0.0000, 0.5000) x1

DFT formation energy ... 1.110 eV per formula unit

***

# 15
First-principles (PBE-GGA) data for Lu2TeC after structural relaxation, as listed in Alexandria.

abc: 3.7373 3.7373 20.6190
angles: 90.00 90.00 120.00
Space group R-3m (No. 166, hexagonal axes)
Symmetry-distinct sites (fractional):
Lu (0.0000, 0.0000, 0.2277) x6
Te (0.0000, 0.0000, 0.0000) x3
C (0.0000, 0.0000, 0.5000) x3

Raw formation energy ... -0.88 eV/atom

***

# 16
First-principles (PBE-GGA) data for Nd4NiSe3 after structural relaxation, as listed in Alexandria.

abc: 7.3885 8.4455 7.1798
angles: 90.00 109.13 90.00
Space group P2/c (No. 13)
Symmetry-distinct sites (fractional):
Nd (0.2323, 0.1179, 0.0069) x4
Nd (0.2422, 0.3646, 0.4917) x4
Ni (0.0000, 0.1244, 0.2500) x2
Se (0.0000, 0.3767, 0.7500) x2
Se (0.5000, 0.1266, 0.7500) x2
Se (0.5000, 0.3804, 0.2500) x2

Raw formation energy ... -1.44 eV/atom

***

# 17
First-principles (PBE-GGA) data for BaMg2Te2 after structural relaxation, as listed in Alexandria.

abc: 8.7597 8.7597 4.1542
angles: 90.00 90.00 90.00
Space group P4/mbm (No. 127)
Symmetry-distinct sites (fractional):
Ba (0.0000, 0.0000, 0.0000) x2
Mg (0.1320, 0.3680, 0.5000) x4
Te (0.1507, 0.6507, 0.0000) x4

Raw formation energy ... -0.61 eV/atom

***

# 18
First-principles (PBE-GGA) data for TaBePb after structural relaxation, as listed in Alexandria.

abc: 3.0978 3.0978 6.9541
angles: 90.00 90.00 120.00
Space group P3m1 (No. 156)
Symmetry-distinct sites (fractional):
Ta (0.0000, 0.0000, 0.0000) x1
Be (0.6667, 0.3333, 0.2765) x1
Pb (0.3333, 0.6667, 0.6260) x1

DFT formation energy ... 2.063 eV per formula unit

***

# 19
First-principles (PBE-GGA) data for TaCo4Ru after structural relaxation, as listed in Alexandria.

abc: 6.6756 6.6756 6.6756
angles: 90.00 90.00 90.00
Space group F-43m (No. 216)
Symmetry-distinct sites (fractional):
Ta (0.0000, 0.0000, 0.0000) x4
Co (0.1245, 0.1245, 0.3755) x16
Ru (0.2500, 0.2500, 0.7500) x4

DFT formation energy ... -0.716 eV per formula unit

***

# 20
First-principles (PBE-GGA) data for SbPd8Au2 after structural relaxation, as listed in Alexandria.

abc: 8.1242 10.6441 4.4232
angles: 90.00 90.00 90.00
Space group Cmmm (No. 65)
Symmetry-distinct sites (fractional):
Sb (0.0000, 0.0000, 0.0000) x2
Pd (0.0000, 0.2397, 0.0000) x4
Pd (0.1678, 0.1321, 0.5000) x8
Pd (0.1726, 0.5000, 0.0000) x4
Au (0.0000, 0.3749, 0.5000) x4

Raw formation energy ... -0.04 eV/atom

***

| no. | V (Å³ per atom) |
| --- | --- |
| 1 | 12.1 |
| 2 | 11.6 |
| 3 | 27.2 |
| 4 | 20.6 |
| 5 | 12.1 |
| 6 | 17.3 |
| 7 | 41.2 |
| 8 | 18.0 |
| 9 | 31.2 |
| 10 | 13.2 |
| 11 | 12.7 |
| 12 | 26.4 |
| 13 | 31.4 |
| 14 | 34.3 |
| 15 | 20.8 |
| 16 | 26.5 |
| 17 | 31.9 |
| 18 | 19.3 |
| 19 | 12.4 |
| 20 | 17.4 |